# Cr3CoSi, relaxed, DFT PBE
data_Cr3CoSi
_symmetry_space_group_name_H-M 'P m -3 m'
_symmetry_Int_Tables_number 221
_symmetry_space_group_name_Hall '-P 4 2 3'
_cell_length_a 4.2477
_cell_length_b 4.2477
_cell_length_c 4.2477
_cell_angle_alpha 90.00
_cell_angle_beta 90.00
_cell_angle_gamma 90.00
loop_
_atom_site_label
_atom_site_type_symbol
_atom_site_fract_x
_atom_site_fract_y
_atom_site_fract_z
_atom_site_occupancy
Cr1 Cr 0.0000 0.0000 0.5000 1
Co1 Co 0.0000 0.0000 0.0000 1
Si1 Si 0.5000 0.5000 0.5000 1
# **Polymorph energy (0 for the lowest one)**: 0 meV per atom
# **Raw total energy**: -7.187 eV per atom
# **DOS(E_F)**: 4.82 states/eV per cell